# SrNdBi2O8

Crystalline SrNdBi2O8 at its relaxed geometry (PBE-GGA, Alexandria via LeMat-Bulk).

As for the formation energy from raw total energies: -1.611 eV/atom. The density of states at the Fermi level comes out at 16.28 states/eV per cell.

The space group is I-4 (No. 82) and the conventional cell measures 5.622, 5.622 and 11.531 Å, with angles of 90.00, 90.00 and 90.00 degrees. Symmetry generates all atoms from Sr at (0.000, 0.000, 0.000), Nd at (0.000, 0.500, 0.750), Bi at (0.000, 0.000, 0.500), Bi at (0.000, 0.500, 0.250), O at (0.187, 0.246, 0.598) and O at (0.206, 0.738, 0.157).